Arrangement a

## CaBr2O (PBE)

Data for a geometry-optimized CaBr2O structure.

POSCAR file:
```
CaBr2O
1.0
-1.963 2.803 2.027
-1.337 -1.100 -3.603
-2.684 -5.798 3.665
Br O Ca
2 1 1
Direct
0.786 0.748 0.256
0.681 0.423 0.865
0.859 0.957 0.515
0.233 0.654 0.603
```

Its space-group type is No. 1.

Arrangement b

## CaBr2O (PBE)

Data for a geometry-optimized CaBr2O structure.

POSCAR file:
```
CaBr2O
1.0
-2.868 4.860 3.894
-3.501 -0.446 -2.022
-0.545 -8.127 2.736
Ca Br O
2 4 2
Direct
0.443 0.500 0.455
0.443 0.000 0.955
0.097 0.000 0.103
0.685 0.500 0.239
0.097 0.500 0.603
0.685 0.000 0.739
0.314 0.500 0.836
0.314 0.000 0.336
```

Its space-group type is No. 8.

Arrangement c

## CaBr2O (PBE)

Data for a geometry-optimized CaBr2O structure.

POSCAR file:
```
CaBr2O
1.0
-4.373 -2.600 -1.707
-0.204 -2.699 4.633
-7.071 3.270 4.702
Ca Br O
2 4 2
Direct
0.750 0.250 0.500
0.000 0.000 0.000
0.615 0.125 0.250
0.375 0.385 0.750
0.875 0.865 0.750
0.135 0.625 0.250
0.500 0.500 0.000
0.250 0.750 0.500
```

Its space-group type is No. 122.

Stability, lowest: arrangement c